VASP calculation (PBE-GGA) on a geometry-optimized Ho2Lu structure.

The space group is Fd-3m (No. 227, origin choice 2) and the conventional cell measures 9.128, 9.128 and 9.128 Å, with angles of 90.00, 90.00 and 90.00 degrees. The asymmetric unit holds Ho at (0.000, 0.000, 0.000) and Lu at (0.125, 0.125, 0.625).

Its calculated formation energy is 0.26 eV per atom. The calculation puts the calculated volume at 760.67 Å³/cell.

***

VASP calculation (PBE-GGA) on a geometry-optimized HoLu2 structure.

The space group is Fd-3m (No. 227, origin choice 2) and the conventional cell measures 9.114, 9.114 and 9.114 Å, with angles of 90.00, 90.00 and 90.00 degrees. The asymmetric unit holds Ho at (0.125, 0.125, 0.125) and Lu at (0.000, 0.000, 0.500).

Its calculated formation energy is 0.28 eV per atom. The calculation puts the calculated volume at 757.03 Å³/cell.

***

VASP calculation (PBE-GGA) on a geometry-optimized HoLu2 structure.

The space group is I4/mmm (No. 139) and the conventional cell measures 3.465, 3.465 and 14.808 Å, with angles of 90.00, 90.00 and 90.00 degrees. The asymmetric unit holds Ho at (0.000, 0.000, 0.000) and Lu at (0.000, 0.000, 0.333).

Its calculated formation energy is 0.03 eV per atom. The calculation puts the calculated volume at 177.79 Å³/cell.

***

VASP calculation (PBE-GGA) on a geometry-optimized Ho3Lu structure.

The space group is P6_3/mmc (No. 194) and the conventional cell measures 7.1421, 7.1421 and 5.5599 Å, with angles of 90.00, 90.00 and 120.00 degrees. The asymmetric unit holds Ho at (0.1671, 0.3341, 0.2500) and Lu at (0.3333, 0.6667, 0.7500).

Its calculated formation energy is 0.00 eV per atom. The calculation puts the calculated volume at 245.61 Å³/cell.

***

VASP calculation (PBE-GGA) on a geometry-optimized HoLu3 structure.

The space group is Pm-3m (No. 221) and the conventional cell measures 4.902, 4.902 and 4.902 Å, with angles of 90.00, 90.00 and 90.00 degrees. The asymmetric unit holds Ho at (0.000, 0.000, 0.000) and Lu at (0.000, 0.500, 0.500).

Its calculated formation energy is 0.04 eV per atom. The calculation puts the calculated volume at 117.82 Å³/cell.

***

VASP calculation (PBE-GGA) on a geometry-optimized Ho2Lu structure.

The space group is I4/mmm (No. 139) and the conventional cell measures 3.488, 3.488 and 14.884 Å, with angles of 90.00, 90.00 and 90.00 degrees. The asymmetric unit holds Ho at (0.000, 0.000, 0.166) and Lu at (0.000, 0.000, 0.500).

Its calculated formation energy is 0.03 eV per atom. The calculation puts the calculated volume at 181.04 Å³/cell.

***

VASP calculation (PBE-GGA) on a geometry-optimized HoLu structure.

The space group is Pm-3m (No. 221) and the conventional cell measures 3.930, 3.930 and 3.930 Å, with angles of 90.00, 90.00 and 90.00 degrees. The asymmetric unit holds Ho at (0.000, 0.000, 0.000) and Lu at (0.500, 0.500, 0.500).

Its calculated formation energy is 0.12 eV per atom. The calculation puts the calculated volume at 60.70 Å³/cell.

***

VASP calculation (PBE-GGA) on a geometry-optimized HoLu3 structure.

The space group is P6_3/mmc (No. 194) and the conventional cell measures 7.0697, 7.0697 and 5.4992 Å, with angles of 90.00, 90.00 and 120.00 degrees. The asymmetric unit holds Ho at (0.3333, 0.6667, 0.2500) and Lu at (0.1663, 0.3326, 0.7500).

Its calculated formation energy is 0.00 eV per atom. The calculation puts the calculated volume at 238.03 Å³/cell.

***

VASP calculation (PBE-GGA) on a geometry-optimized Ho6Lu structure.

The space group is Im-3m (No. 229) and the conventional cell measures 7.996, 7.996 and 7.996 Å, with angles of 90.00, 90.00 and 90.00 degrees. The asymmetric unit holds Ho at (0.000, 0.250, 0.500) and Lu at (0.000, 0.000, 0.000).

Its calculated formation energy is 1.59 eV per atom. The calculation puts the calculated volume at 511.23 Å³/cell.

***

VASP calculation (PBE-GGA) on a geometry-optimized HoLu3 structure.

The space group is I4/mmm (No. 139) and the conventional cell measures 4.538, 4.538 and 12.840 Å, with angles of 90.00, 90.00 and 90.00 degrees. The asymmetric unit holds Ho at (0.000, 0.000, 0.000), Lu at (0.000, 0.000, 0.251) and Lu at (0.000, 0.000, 0.500).

Its calculated formation energy is 0.83 eV per atom. The calculation puts the calculated volume at 264.41 Å³/cell.

***

VASP calculation (PBE-GGA) on a geometry-optimized Ho3Lu structure.

The space group is Imm2 (No. 44) and the conventional cell measures 3.579, 11.103 and 6.188 Å, with angles of 90.00, 90.00 and 90.00 degrees. The asymmetric unit holds Ho at (0.000, 0.000, 0.000), Ho at (0.000, 0.249, 0.666) and Lu at (0.000, 0.500, 0.998).

Its calculated formation energy is 0.00 eV per atom. The calculation puts the calculated volume at 245.85 Å³/cell.

***

VASP calculation (PBE-GGA) on a geometry-optimized HoLu3 structure.

The space group is Pmm2 (No. 25) and the conventional cell measures 3.538, 5.489 and 6.124 Å, with angles of 90.00, 90.00 and 90.00 degrees. The asymmetric unit holds Ho at (0.000, 0.000, 0.000), Lu at (0.000, 0.500, 0.665), Lu at (0.500, 0.000, 0.499) and Lu at (0.500, 0.500, 0.166).

Its calculated formation energy is 0.00 eV per atom. The calculation puts the calculated volume at 118.91 Å³/cell.

***

VASP calculation (PBE-GGA) on a geometry-optimized HoLu structure.

The space group is Pmmn (No. 59, origin choice 2) and the conventional cell measures 3.476, 4.922 and 6.971 Å, with angles of 90.00, 90.00 and 90.00 degrees. The asymmetric unit holds Ho at (0.250, 0.250, 0.126) and Lu at (0.250, 0.250, 0.624).

Its calculated formation energy is 0.03 eV per atom. The calculation puts the calculated volume at 119.28 Å³/cell.

***

VASP calculation (PBE-GGA) on a geometry-optimized HoLu6 structure.

The space group is Im-3m (No. 229) and the conventional cell measures 8.088, 8.088 and 8.088 Å, with angles of 90.00, 90.00 and 90.00 degrees. The asymmetric unit holds Ho at (0.000, 0.000, 0.000) and Lu at (0.000, 0.250, 0.500).

Its calculated formation energy is 1.65 eV per atom. The calculation puts the calculated volume at 529.17 Å³/cell.

***

VASP calculation (PBE-GGA) on a geometry-optimized HoLu3 structure.

The space group is Fm-3m (No. 225) and the conventional cell measures 7.836, 7.836 and 7.836 Å, with angles of 90.00, 90.00 and 90.00 degrees. The asymmetric unit holds Ho at (0.000, 0.000, 0.000), Lu at (0.000, 0.000, 0.500) and Lu at (0.250, 0.250, 0.250).

Its calculated formation energy is 0.13 eV per atom. The calculation puts the calculated volume at 481.24 Å³/cell.

***

VASP calculation (PBE-GGA) on a geometry-optimized HoLu3 structure.

The space group is Imm2 (No. 44) and the conventional cell measures 3.537, 10.994 and 6.118 Å, with angles of 90.00, 90.00 and 90.00 degrees. The asymmetric unit holds Ho at (0.000, 0.000, 0.000), Lu at (0.000, 0.249, 0.666) and Lu at (0.000, 0.500, 0.999).

Its calculated formation energy is 0.00 eV per atom. The calculation puts the calculated volume at 237.94 Å³/cell.

***

VASP calculation (PBE-GGA) on a geometry-optimized Ho3Lu structure.

The space group is I4/mmm (No. 139) and the conventional cell measures 4.948, 4.948 and 9.891 Å, with angles of 90.00, 90.00 and 90.00 degrees. The asymmetric unit holds Ho at (0.000, 0.000, 0.000), Ho at (0.000, 0.500, 0.250) and Lu at (0.000, 0.000, 0.500).

Its calculated formation energy is 0.03 eV per atom. The calculation puts the calculated volume at 242.19 Å³/cell.

***

VASP calculation (PBE-GGA) on a geometry-optimized Ho3Lu structure.

The space group is Pm-3m (No. 221) and the conventional cell measures 4.948, 4.948 and 4.948 Å, with angles of 90.00, 90.00 and 90.00 degrees. The asymmetric unit holds Ho at (0.000, 0.000, 0.500) and Lu at (0.500, 0.500, 0.500).

Its calculated formation energy is 0.03 eV per atom. The calculation puts the calculated volume at 121.16 Å³/cell.

***

VASP calculation (PBE-GGA) on a geometry-optimized Ho3Lu structure.

The space group is Fm-3m (No. 225) and the conventional cell measures 7.904, 7.904 and 7.904 Å, with angles of 90.00, 90.00 and 90.00 degrees. The asymmetric unit holds Ho at (0.000, 0.000, 0.000), Ho at (0.250, 0.250, 0.250) and Lu at (0.000, 0.000, 0.500).

Its calculated formation energy is 0.14 eV per atom. The calculation puts the calculated volume at 493.78 Å³/cell.

***

VASP calculation (PBE-GGA) on a geometry-optimized Ho3Lu structure.

The space group is Pmm2 (No. 25) and the conventional cell measures 3.578, 5.541 and 6.197 Å, with angles of 90.00, 90.00 and 90.00 degrees. The asymmetric unit holds Ho at (0.000, 0.000, 0.000), Ho at (0.000, 0.500, 0.335), Ho at (0.500, 0.500, 0.834) and Lu at (0.500, 0.000, 0.501).

Its calculated formation energy is 0.00 eV per atom. The calculation puts the calculated volume at 122.87 Å³/cell.